(1)
Below is crystalline K2Tl3In2 at its relaxed geometry, with properties calculated at the PBE level.

Summary:
E: -2.162 eV per atom
DFT formation energy: -0.052 eV per atom
SG: Cmcm
Spin magnetization: 0.000 Bohr magnetons per cell

```
K2Tl3In2
1.0
2.632 -11.362 0.000
2.632 11.362 0.000
0.000 0.000 8.314
K Tl In
4 6 4
direct
0.056 0.944 0.750
0.159 0.841 0.250
0.841 0.159 0.750
0.944 0.056 0.250
0.225 0.775 0.750
0.439 0.561 0.568
0.439 0.561 0.932
0.561 0.439 0.068
0.561 0.439 0.432
0.775 0.225 0.250
0.313 0.687 0.060
0.313 0.687 0.440
0.687 0.313 0.560
0.687 0.313 0.940
```

(2)
Below is crystalline Pm2NdSm5Y at its relaxed geometry, with properties calculated at the PBE level.

Summary:
E: -4.655 eV per atom
DFT formation energy: 0.270 eV per atom
SG: I4/mcm
Spin magnetization: 0.000 Bohr magnetons per cell

```
Pm2NdSm5Y
1.0
-4.427 4.427 7.887
4.427 -4.427 7.887
4.427 4.427 -7.887
Pm Nd Sm Y
4 2 10 2
direct
0.117 0.617 0.733
0.383 0.117 0.500
0.617 0.883 0.500
0.883 0.383 0.267
0.250 0.250 0.000
0.750 0.750 0.000
0.000 0.000 0.000
0.073 0.152 0.500
0.152 0.652 0.080
0.348 0.427 0.500
0.427 0.927 0.080
0.500 0.500 0.000
0.573 0.073 0.920
0.652 0.573 0.500
0.848 0.348 0.920
0.927 0.848 0.500
0.250 0.750 0.500
0.750 0.250 0.500
```

(3)
Below is crystalline CaAsC3 at its relaxed geometry, with properties calculated at the PBE level.

Summary:
E: -4.991 eV per atom
DFT formation energy: 1.873 eV per atom
Relative energy among the computed polymorphs: 0 meV/atom
SG: Pm-3m
Spin magnetization: 0.000 Bohr magnetons per cell

```
CaAsC3
1.0
4.018 0.000 0.000
0.000 4.018 0.000
0.000 0.000 4.018
Ca As C
1 1 3
direct
0.000 0.000 0.000
0.500 0.500 0.500
0.000 0.500 0.500
0.500 0.000 0.500
0.500 0.500 0.000
```

(4)
Below is crystalline PaIrRh4 at its relaxed geometry, with properties calculated at the PBE level.

Summary:
E: -8.049 eV per atom
DFT formation energy: -0.089 eV per atom
SG: P-42c
Spin magnetization: 0.000 Bohr magnetons per cell

```
PaIrRh4
1.0
4.990 0.000 0.000
0.000 4.990 0.000
0.000 0.000 8.549
Pa Ir Rh
2 2 8
direct
0.000 0.500 0.250
0.500 0.000 0.750
0.000 0.000 0.000
0.000 0.000 0.500
0.246 0.414 0.891
0.246 0.586 0.609
0.414 0.246 0.391
0.414 0.754 0.109
0.586 0.246 0.109
0.586 0.754 0.391
0.754 0.414 0.609
0.754 0.586 0.891
```